Record 1
The following is a PBE calculation of Te2INCl after structural relaxation, from Alexandria via LeMat-Bulk.

## Properties
Symmetry = P4/mmm (123)
Crystal system = tetragonal
Raw total energy = -2.2705 eV per atom
D(E_F) = 1.282 states/eV per atom

Cell lengths 6.644, 6.644, 3.304 Å; angles 90.00, 90.00, 90.00 degrees
Positions (direct):
I1 0.500 0.500 0.500
N1 0.000 0.000 0.500
Te1 0.000 0.500 0.000
Te2 0.500 0.000 0.000
Cl1 0.000 0.000 0.000


Record 2
The following is a PBE calculation of TeI2NCl after structural relaxation, from Alexandria via LeMat-Bulk.

## Properties
Symmetry = P4/mmm (123)
Crystal system = tetragonal
Raw total energy = -2.1765 eV per atom
D(E_F) = 0.940 states/eV per atom

Cell lengths 7.448, 7.448, 3.276 Å; angles 90.00, 90.00, 90.00 degrees
Last column: magnetic moment on the atom in μB.
Positions (direct):
I1 0.000 0.500 0.000  0.07
I2 0.500 0.000 0.000  0.07
N1 0.000 0.000 0.500  0.00
Te1 0.500 0.500 0.500  0.54
Cl1 0.000 0.000 0.000  0.00


Record 3
The following is a PBE calculation of TiI2NCl after structural relaxation, from Alexandria via LeMat-Bulk.

## Properties
Symmetry = P4/mmm (123)
Crystal system = tetragonal
Raw total energy = -4.2348 eV per atom
D(E_F) = 1.542 states/eV per atom

Cell lengths 5.735, 5.735, 3.749 Å; angles 90.00, 90.00, 90.00 degrees
Positions (direct):
I1 0.000 0.500 0.000
I2 0.500 0.000 0.000
N1 0.000 0.000 0.500
Cl1 0.500 0.500 0.500
Ti1 0.000 0.000 0.000